Computed, not measured: a geometry-optimized K2Ni3SbF12 structure at the GGA+U level of DFT.

a = 7.6398 Å, b = 7.6398 Å, c = 7.6398 Å
α = 57.27°, β = 57.27°, γ = 57.27°
With the nearest neighbours (Å) after each atom.
Positions (direct):
K 0.5899 0.5899 0.5899  3 F 2.84
K 0.4101 0.4101 0.4101  3 F 2.84
Ni 0.5000 0.0000 0.0000  6 F 1.98-2.10
Ni 0.0000 0.5000 0.0000  6 F 1.98-2.10
Ni 0.0000 0.0000 0.5000  6 F 1.98-2.10
Sb 0.0000 0.0000 0.0000  6 F 2.05
F 0.3219 0.3219 0.9163  2 Ni 1.98
F 0.9227 0.9227 0.3298  1 Sb 2.05, 1 Ni 2.10
F 0.3298 0.9227 0.9227  1 Sb 2.05, 1 Ni 2.10
F 0.9163 0.3219 0.3219  2 Ni 1.98
F 0.9227 0.3298 0.9227  1 Sb 2.05, 1 Ni 2.10
F 0.3219 0.9163 0.3219  2 Ni 1.98
F 0.6781 0.6781 0.0837  2 Ni 1.98
F 0.0773 0.0773 0.6702  1 Sb 2.05, 1 Ni 2.10
F 0.6702 0.0773 0.0773  1 Sb 2.05, 1 Ni 2.10
F 0.0837 0.6781 0.6781  2 Ni 1.98
F 0.0773 0.6702 0.0773  1 Sb 2.05, 1 Ni 2.10
F 0.6781 0.0837 0.6781  2 Ni 1.98

Computed properties:
Theoretical density ... 3.4 g/cm3
Space-group type ... R-3m (166)
Calculated total energy ... -78.240 eV/cell
Total magnetization ... 4.96 μB/f.u.